(1)
The following is a PBE-GGA calculation of a relaxed RbHfZnGa2 crystal, from Alexandria.

a b c (Å): 5.3379 5.3379 5.2131
angles (deg): 90.00 90.00 90.00
Closest atoms and distances in Å follow each position.
Space group P4/mmm (No. 123)
Symmetry-distinct sites (fractional):
Rb  0.0000  0.0000  0.0000 x1  2 Zn 2.61, 4 Ga 2.67
Hf  0.5000  0.5000  0.5000 x1  8 Ga 3.73, 4 Zn 3.77
Zn  0.0000  0.0000  0.5000 x1  2 Rb 2.61
Ga  0.0000  0.5000  0.0000 x2  2 Rb 2.67

E_form = 8.13 eV/f.u.
E_tot = -10.12 eV for the cell shown
Density of states at the Fermi level = 6.1 states/eV per cell


(2)
The following is a PBE-GGA calculation of a relaxed Hf3GaRe crystal, from Alexandria.

a b c (Å): 5.0235 5.0235 5.0235
angles (deg): 90.00 90.00 90.00
Closest atoms and distances in Å follow each position.
Space group Pm-3m (No. 221)
Symmetry-distinct sites (fractional):
Hf  0.0000  0.0000  0.5000 x3  2 Re 2.51
Ga  0.5000  0.5000  0.5000 x1  12 Hf 3.55
Re  0.0000  0.0000  0.0000 x1  6 Hf 2.51

E above lowest polymorph = 0.000 eV/atom
E_form = 3.21 eV/f.u.
E_tot = -42.13 eV for the cell shown
Density of states at the Fermi level = 9.6 states/eV per cell


(3)
The following is a PBE-GGA calculation of a relaxed HfGa3Re crystal, from Alexandria.

a b c (Å): 5.0477 5.0477 5.0477
angles (deg): 90.00 90.00 90.00
Closest atoms and distances in Å follow each position.
Space group Pm-3m (No. 221)
Symmetry-distinct sites (fractional):
Hf  0.0000  0.0000  0.0000 x1  6 Ga 2.52
Ga  0.0000  0.0000  0.5000 x3  2 Hf 2.52
Re  0.5000  0.5000  0.5000 x1  12 Ga 3.57

E above lowest polymorph = 1.010 eV/atom
E_form = 7.91 eV/f.u.
E_tot = -23.58 eV for the cell shown
Density of states at the Fermi level = 2.6 states/eV per cell


(4)
The following is a PBE-GGA calculation of a relaxed Hf4GaRe crystal, from Alexandria.

a b c (Å): 6.7189 6.7189 5.3379
angles (deg): 90.00 90.00 90.00
Closest atoms and distances in Å follow each position.
Space group P4/mcc (No. 124)
Symmetry-distinct sites (fractional):
Hf  0.1556  0.3378  0.0000 x8  2 Re 2.83, 2 Ga 2.88, 1 Hf 3.02
Ga  0.5000  0.5000  0.2500 x2  2 Ga 2.67, 8 Hf 2.88
Re  0.0000  0.0000  0.2500 x2  2 Re 2.67, 8 Hf 2.83

E above lowest polymorph = 0.000 eV/atom
E_form = -1.60 eV/f.u.
E_tot = -113.77 eV for the cell shown
Density of states at the Fermi level = 14.6 states/eV per cell


(5)
The following is a PBE-GGA calculation of a relaxed HfGa2Re crystal, from Alexandria.

a b c (Å): 2.8543 2.8543 30.3639
angles (deg): 90.00 90.00 120.00
Closest atoms and distances in Å follow each position.
Space group R-3m (No. 166, hexagonal axes)
Symmetry-distinct sites (fractional):
Hf  0.0000  0.0000  0.0000 x3  6 Hf 2.85, 6 Ga 2.95
Ga  0.0000  0.0000  0.4140 x6  1 Re 2.61, 6 Ga 2.85
Re  0.0000  0.0000  0.5000 x3  2 Ga 2.61, 6 Re 2.85

E above lowest polymorph = 0.454 eV/atom
E_form = 1.43 eV/f.u.
E_tot = -81.07 eV for the cell shown
Density of states at the Fermi level = 10.8 states/eV per cell


(6)
The following is a PBE-GGA calculation of a relaxed Hf4GaRe crystal, from Alexandria.

a b c (Å): 4.5835 11.1451 4.5726
angles (deg): 90.00 90.00 90.00
Closest atoms and distances in Å follow each position.
Space group Cmmm (No. 65)
Symmetry-distinct sites (fractional):
Hf  0.0000  0.1546  0.0000 x4  2 Re 2.86, 2 Ga 2.87, 4 Hf 3.11-3.13
Hf  0.0000  0.3442  0.5000 x4  2 Ga 2.87, 2 Re 2.88, 4 Hf 3.11
Ga  0.0000  0.5000  0.0000 x2  8 Hf 2.87
Re  0.0000  0.0000  0.5000 x2  8 Hf 2.86-2.88

E above lowest polymorph = 0.014 eV/atom
E_form = -1.51 eV/f.u.
E_tot = -113.61 eV for the cell shown
Density of states at the Fermi level = 4.8 states/eV per cell


(7)
The following is a PBE-GGA calculation of a relaxed HfGa2Re crystal, from Alexandria.

a b c (Å): 3.8856 3.8856 19.3031
angles (deg): 90.00 90.00 90.00
Closest atoms and distances in Å follow each position.
Space group I-42d (No. 122)
Symmetry-distinct sites (fractional):
Hf  0.0000  0.0000  0.0000 x4  4 Re 2.75, 4 Ga 2.80
Ga  0.2322  0.2500  0.6250 x8  4 Ga 2.65-2.85, 2 Re 2.75, 2 Hf 2.80
Re  0.0000  0.0000  0.5000 x4  4 Hf 2.75, 4 Ga 2.75

E above lowest polymorph = 0.250 eV/atom
E_form = 0.62 eV/f.u.
E_tot = -111.36 eV for the cell shown
Density of states at the Fermi level = 9.6 states/eV per cell


(8)
The following is a PBE-GGA calculation of a relaxed Hf2Ga2Re crystal, from Alexandria.

a b c (Å): 6.8285 6.8285 3.6887
angles (deg): 90.00 90.00 90.00
Closest atoms and distances in Å follow each position.
Space group P4/mbm (No. 127)
Symmetry-distinct sites (fractional):
Hf  0.1766  0.3234  0.0000 x4  6 Ga 2.64-2.80
Ga  0.1277  0.6277  0.5000 x4  1 Ga 2.47, 2 Hf 2.64, 2 Re 2.69
Re  0.0000  0.0000  0.5000 x2  4 Ga 2.69

E_form = -2.23 eV/f.u.
E_tot = -81.27 eV for the cell shown
Density of states at the Fermi level = 3.0 states/eV per cell